Record 1
Entry from the Alexandria database: a relaxed structure of Ta2SbAu (PBE-GGA).

Results
ρ ... 14.9 Mg/m³
Total magnetization ... 0.00 μB/cell
Formation energy without anion corrections ... 0.13 eV/atom

a = 9.788 Å, b = 3.751 Å, c = 4.535 Å
α = 90.00°, β = 114.68°, γ = 90.00°
Space group C2/m (No. 12)
Inequivalent atoms, fractional coordinates:
Ta  0.246  0.000  0.249 (multiplicity 4)
Sb  0.000  0.500  0.000 (multiplicity 2)
Au  0.000  0.000  0.500 (multiplicity 2)


Record 2
Entry from the Alexandria database: a relaxed structure of Ho2Er2Tm2In (PBE-GGA).

Results
Energy relative to the elements ... -12.0 kJ/mol of atoms
ρ ... 9.0 Mg/m³
Total magnetization ... 0.00 μB/cell

a = 3.516 Å, b = 3.516 Å, c = 33.222 Å
α = 90.00°, β = 90.00°, γ = 90.00°
Space group I4/mmm (No. 139)
Inequivalent atoms, fractional coordinates:
Ho  0.000  0.000  0.213 (multiplicity 4)
Er  0.000  0.000  0.362 (multiplicity 4)
Tm  0.000  0.000  0.064 (multiplicity 4)
In  0.000  0.000  0.500 (multiplicity 2)


Record 3
Entry from the Alexandria database: a relaxed structure of HoAsO4 (PBE-GGA).

Results
ρ ... 6.6 Mg/m³
Total magnetization ... 0.00 μB/cell
Formation energy without anion corrections ... -2.32 eV/atom

a = 6.702 Å, b = 7.006 Å, c = 8.127 Å
α = 90.00°, β = 127.14°, γ = 90.00°
Space group P2_1/c (No. 14)
Inequivalent atoms, fractional coordinates:
Ho  0.197  0.143  0.278 (multiplicity 4)
As  0.310  0.658  0.199 (multiplicity 4)
O  0.114  0.648  0.599 (multiplicity 4)
O  0.156  0.008  0.740 (multiplicity 4)
O  0.361  0.600  0.021 (multiplicity 4)
O  0.382  0.211  0.105 (multiplicity 4)